Record 1
The following is a DFT calculation (PBEsol) of a relaxed structure of RuPbAu2.

Computed properties:
Formation energy = 1.6 eV/f.u.
Total magnetic moment = 0.0 μB/cell

Lattice parameters (Å, degrees): 4.3106 4.3106 7.5819 90.00 90.00 90.00
Space group I-4m2 (No. 119)
Inequivalent atoms, fractional coordinates:
Ru 0.0000 0.0000 0.0000 [2 per cell]
Pb 0.0000 0.5000 0.7500 [2 per cell]
Au 0.0000 0.0000 0.5000 [2 per cell]
Au 0.0000 0.5000 0.2500 [2 per cell]

Record 2
The following is a DFT calculation (PBEsol) of a relaxed structure of InFeSi2.

Computed properties:
Total magnetic moment = 2.8 μB/cell
Formation energy (no corrections) = 2.2 eV/f.u.

Lattice parameters (Å, degrees): 6.1907 6.1907 6.1907 90.00 90.00 90.00
Space group F-43m (No. 216)
Inequivalent atoms, fractional coordinates:
In 0.0000 0.0000 0.0000 [4 per cell]
Fe 0.2500 0.2500 0.7500 [4 per cell]
Si 0.0000 0.0000 0.5000 [4 per cell]
Si 0.2500 0.2500 0.2500 [4 per cell]

Record 3
The following is a DFT calculation (PBEsol) of a relaxed structure of NbTe2.

Computed properties:
Total magnetic moment = 0.0 μB/cell
Formation energy (no corrections) = -1.5 eV/f.u.

Lattice parameters (Å, degrees): 14.4682 3.6011 9.2727 90.00 109.89 90.00
Space group C2/m (No. 12)
Inequivalent atoms, fractional coordinates:
Nb 0.0000 0.0000 0.0000 [2 per cell]
Nb 0.1368 0.5000 0.2878 [4 per cell]
Te 0.0000 0.0000 0.3095 [4 per cell]
Te 0.1515 0.5000 0.0084 [4 per cell]
Te 0.2025 0.5000 0.6184 [4 per cell]

Number 1: calculated total energy -5.1031 eV/atom. Number 2: calculated total energy -5.3129 eV/atom. Number 3: calculated total energy -6.4424 eV/atom.